Entry 1:
Here is a relaxed LiTm2Sn crystal from the Alexandria database. Energies are from PBE.

## Properties
Polymorph energy (0 for the lowest one) in eV per atom: 0.000
Theoretical density in g cm⁻³: 7.668
Energy of formation in eV per atom: -0.4016

a = 4.636 Å, b = 6.248 Å, c = 7.232 Å
α = 106.58°, β = 90.00°, γ = 90.00°
Fractional positions:
Li 0.250 0.365 0.263
Li 0.750 0.635 0.737
Tm 0.750 0.145 0.407
Tm 0.250 0.855 0.593
Tm 0.250 0.792 0.073
Tm 0.750 0.208 0.927
Sn 0.750 0.622 0.295
Sn 0.250 0.378 0.705



Entry 2:
Here is a relaxed Na2TaNb2 crystal from the Alexandria database. Energies are from PBE.

## Properties
Polymorph energy (0 for the lowest one) in eV per atom: 0.000
Theoretical density in g cm⁻³: 6.811
Energy of formation in eV per atom: 1.2549

a = 8.711 Å, b = 8.711 Å, c = 2.652 Å
α = 90.00°, β = 90.00°, γ = 90.00°
Last column: magnetic moment on the atom in μB.
Fractional positions:
Na 0.399 0.899 0.000  0.01
Na 0.899 0.601 0.000  0.01
Na 0.601 0.101 0.000  0.01
Na 0.101 0.399 0.000  0.01
Nb 0.200 0.700 0.500  0.34
Nb 0.700 0.800 0.500  0.34
Nb 0.800 0.300 0.500  0.34
Nb 0.300 0.200 0.500  0.34
Ta 0.000 0.000 0.000  -0.01
Ta 0.500 0.500 0.000  -0.01



Entry 3:
Here is a relaxed Hf4Mo2Ir crystal from the Alexandria database. Energies are from PBE.

## Properties
Polymorph energy (0 for the lowest one) in eV per atom: 0.000
Theoretical density in g cm⁻³: 13.125
Energy of formation in eV per atom: -0.1891

a = 5.651 Å, b = 5.651 Å, c = 5.651 Å
α = 108.63°, β = 109.89°, γ = 109.89°
Fractional positions:
Hf 0.500 0.000 0.000
Hf 0.500 0.500 0.500
Hf 0.000 0.000 0.500
Hf 0.000 0.500 0.000
Mo 0.500 0.500 0.000
Mo 0.500 0.000 0.500
Ir 0.000 0.000 0.000



Entry 4:
Here is a relaxed TbPrPdRh crystal from the Alexandria database. Energies are from PBE.

## Properties
Polymorph energy (0 for the lowest one) in eV per atom: 0.042
Theoretical density in g cm⁻³: 9.485
Energy of formation in eV per atom: -0.7458

a = 5.014 Å, b = 5.014 Å, c = 5.014 Å
α = 60.00°, β = 60.00°, γ = 60.00°
Fractional positions:
Pr 0.250 0.250 0.250
Rh 0.500 0.500 0.500
Tb 0.750 0.750 0.750
Pd 0.000 0.000 0.000



Entry 5:
Here is a relaxed ZnAs2Se crystal from the Alexandria database. Energies are from PBE.

## Properties
Polymorph energy (0 for the lowest one) in eV per atom: 0.354
Theoretical density in g cm⁻³: 4.183

a = 8.934 Å, b = 3.616 Å, c = 3.616 Å
α = 90.00°, β = 90.00°, γ = 90.00°
Fractional positions:
As 0.000 0.000 0.000
As 0.000 0.500 0.500
Se 0.500 0.500 0.000
Zn 0.500 0.000 0.500



Entry 6:
Here is a relaxed ZrTcIr2 crystal from the Alexandria database. Energies are from PBE.

## Properties
Polymorph energy (0 for the lowest one) in eV per atom: 0.065
Theoretical density in g cm⁻³: 14.864
Energy of formation in eV per atom: -0.3959

a = 4.558 Å, b = 2.862 Å, c = 4.912 Å
α = 89.97°, β = 90.00°, γ = 90.00°
Fractional positions:
Ir 0.000 0.125 0.955
Ir 0.500 0.125 0.308
Tc 0.000 0.625 0.431
Zr 0.500 0.625 0.805



Entry 7:
Here is a relaxed Ba2Bi3Sb crystal from the Alexandria database. Energies are from PBE.

## Properties
Theoretical density in g cm⁻³: 6.749

a = 11.839 Å, b = 11.840 Å, c = 14.775 Å
α = 101.28°, β = 159.93°, γ = 65.39°
Fractional positions:
Ba 0.800 0.877 0.376
Ba 0.200 0.123 0.624
Ba 0.999 0.576 0.876
Ba 0.001 0.424 0.124
Bi 0.337 0.799 0.209
Bi 0.663 0.201 0.791
Bi 0.090 0.128 0.291
Bi 0.021 0.271 0.750
Bi 0.910 0.872 0.709
Bi 0.979 0.729 0.250
Sb 0.829 0.579 0.250
Sb 0.171 0.421 0.750



Entry 8:
Here is a relaxed PmPrEuTh crystal from the Alexandria database. Energies are from PBE.

## Properties
Theoretical density in g cm⁻³: 7.860
Energy of formation in eV per atom: 0.2265

a = 5.849 Å, b = 5.849 Å, c = 5.849 Å
α = 60.00°, β = 60.00°, γ = 60.00°
Last column: magnetic moment on the atom in μB.
Fractional positions:
Eu 0.250 0.250 0.250  -6.86
Pr 0.500 0.500 0.500  0.05
Th 0.750 0.750 0.750  0.24
Pm 0.000 0.000 0.000  0.07



Entry 9:
Here is a relaxed SrRu2Rh crystal from the Alexandria database. Energies are from PBE.

## Properties
Polymorph energy (0 for the lowest one) in eV per atom: 0.000
Theoretical density in g cm⁻³: 8.776
Energy of formation in eV per atom: 0.3753

a = 2.861 Å, b = 3.668 Å, c = 7.082 Å
α = 90.00°, β = 90.00°, γ = 90.00°
Fractional positions:
Rh 0.500 0.500 0.808
Ru 0.000 0.000 0.010
Ru 0.500 0.500 0.176
Sr 0.000 0.000 0.506



Entry 10:
Here is a relaxed NdHoTm2 crystal from the Alexandria database. Energies are from PBE.

## Properties
Polymorph energy (0 for the lowest one) in eV per atom: 0.000
Theoretical density in g cm⁻³: 8.419
Energy of formation in eV per atom: 0.0088

a = 7.233 Å, b = 6.258 Å, c = 12.900 Å
α = 119.04°, β = 90.00°, γ = 90.00°
Fractional positions:
Nd 0.249 0.455 0.622
Nd 0.751 0.545 0.378
Nd 0.249 0.045 0.878
Nd 0.751 0.955 0.122
Ho 0.500 0.040 0.375
Ho 0.500 0.960 0.625
Ho 0.500 0.460 0.125
Ho 0.500 0.540 0.875
Tm 0.751 0.041 0.873
Tm 0.249 0.959 0.127
Tm 0.751 0.459 0.627
Tm 0.249 0.541 0.373
Tm 0.001 0.460 0.125
Tm 0.999 0.540 0.875
Tm 0.001 0.040 0.375
Tm 0.999 0.960 0.625



Entry 11:
Here is a relaxed LiNp2USe6 crystal from the Alexandria database. Energies are from PBE.

## Properties
Theoretical density in g cm⁻³: 6.755

a = 6.824 Å, b = 6.555 Å, c = 6.555 Å
α = 90.00°, β = 90.00°, γ = 90.00°
Last column: magnetic moment on the atom in μB.
Fractional positions:
Li 0.531 0.000 0.000  0.00
Np 0.000 0.500 0.000  3.88
Np 0.000 0.000 0.500  3.88
U 0.582 0.500 0.500  1.73
Se 0.748 0.239 0.239  -0.12
Se 0.748 0.239 0.761  -0.12
Se 0.171 0.500 0.500  -0.07
Se 0.170 0.000 0.000  -0.11
Se 0.748 0.761 0.761  -0.12
Se 0.748 0.761 0.239  -0.12



Entry 12:
Here is a relaxed Sn2PbAuSe4 crystal from the Alexandria database. Energies are from PBE.

## Properties
Theoretical density in g cm⁻³: 7.636

a = 4.192 Å, b = 7.309 Å, c = 7.242 Å
α = 69.77°, β = 90.00°, γ = 90.00°
Fractional positions:
Sn 0.000 0.000 0.000
Sn 0.500 0.000 0.500
Pb 0.000 0.500 0.500
Au 0.500 0.500 0.000
Se 0.000 0.741 0.766
Se 0.000 0.259 0.234
Se 0.500 0.757 0.243
Se 0.500 0.243 0.757



Record-wise electronic total energy values, in eV per atom: -4.116; -5.671; -10.237; -6.234; -3.325; -9.555; -3.795; -6.580; -6.521; -4.563; -6.782; -3.914